Record 1
Density functional theory data (meta-GGA SCAN) for Mg3P at its PBEsol-relaxed geometry.

abc: 5.3819 5.3819 5.3819
angles: 90.00 90.00 90.00
Positions (direct):
P (0.5000, 0.5000, 0.5000)
P (0.0000, 0.0000, 0.0000)
Mg (0.0000, 0.2500, 0.5000)
Mg (0.7500, 0.5000, 0.0000)
Mg (0.5000, 0.0000, 0.7500)
Mg (0.5000, 0.0000, 0.2500)
Mg (0.2500, 0.5000, 0.0000)
Mg (0.0000, 0.7500, 0.5000)

Output
M_tot	0.00	μB/f.u.
density	2.2	g/cm3
formation energy from the elements	0.000	eV per atom


Record 2
Density functional theory data (meta-GGA SCAN) for Al2CuNi2 at its PBEsol-relaxed geometry.

abc: 3.9567 3.9567 4.8212
angles: 90.00 90.00 120.00
Positions (direct):
Al (0.3333, 0.6667, 0.3398)
Al (0.6667, 0.3333, 0.6602)
Ni (0.3333, 0.6667, 0.8422)
Ni (0.6667, 0.3333, 0.1578)
Cu (0.0000, 0.0000, 0.0000)

Output
distance to the lowest polymorph of the same formula	130	meV per atom
M_tot	0.00	μB/f.u.
density	6.0	g/cm3
formation energy from the elements	-0.378	eV per atom